{"formula": "Ac2TbMg3Cd12", "functional": "PBE", "state": "relaxed", "formation_enthalpy_0k_ev_per_fu": -0.60, "vol_a3_per_atom": 27.380, "e_tot_ev_per_atom": -1.623, "dos_ef_per_ev_cell": 8.8, "density_kg_m3": 6856, "lattice": [[5.4177, 3.1279, 4.8471], [-5.4177, 3.1279, 4.8471], [0.0000, -6.2558, 4.8471]], "species": ["Ac", "Ac", "Tb", "Mg", "Mg", "Mg", "Cd", "Cd", "Cd", "Cd", "Cd", "Cd", "Cd", "Cd", "Cd", "Cd", "Cd", "Cd"], "frac_coords": [[0.2073, 0.2073, 0.2073], [0.7927, 0.7927, 0.7927], [0.5000, 0.5000, 0.5000], [0.0000, 0.5000, 0.5000], [0.5000, 0.0000, 0.5000], [0.5000, 0.5000, 0.0000], [0.0832, 0.0832, 0.6334], [0.0832, 0.6334, 0.0832], [0.2164, 0.7026, 0.7026], [0.2974, 0.2974, 0.7836], [0.2974, 0.7836, 0.2974], [0.3666, 0.9168, 0.9168], [0.6334, 0.0832, 0.0832], [0.7026, 0.2164, 0.7026], [0.7026, 0.7026, 0.2164], [0.7836, 0.2974, 0.2974], [0.9168, 0.3666, 0.9168], [0.9168, 0.9168, 0.3666]]}